Record 1
The following is a GGA-PBE calculation of a geometry-optimized Sm3Zn3Ir2Pd structure, from the Open Quantum Materials Database.

## Properties
formation energy from the elements: -678 meV per atom
total magnetization: 0.01 μB/cell

Cell: 7.2880 7.2880 3.9450 Å, 90.00 90.00 120.00°
Space group P-62m (No. 189)
Symmetry-distinct sites (fractional):
Sm  0.0000  0.5889  0.0000 x3
Zn  0.0000  0.2513  0.5000 x3
Ir  0.3333  0.6667  0.5000 x2
Pd  0.0000  0.0000  0.0000 x1



Record 2
The following is a GGA-PBE calculation of a geometry-optimized UH14C16N4Cl6 structure, from the Open Quantum Materials Database.

## Properties
total magnetization: 2.06 μB/cell
raw total energy: -6.374 eV per atom

Cell: 7.335 8.050 9.516 Å, 83.01 72.46 86.53°
Space group P-1 (No. 2)
Symmetry-distinct sites (fractional):
U  0.000  0.000  0.000 x1
H  0.132  0.187  0.458 x2
H  0.158  0.355  0.653 x2
H  0.230  0.303  0.193 x2
H  0.259  0.635  0.717 x2
H  0.360  0.591  0.117 x2
H  0.403  0.896  0.622 x2
H  0.463  0.855  0.193 x2
C  0.189  0.313  0.427 x2
C  0.202  0.406  0.536 x2
C  0.245  0.379  0.276 x2
C  0.278  0.568  0.494 x2
C  0.300  0.670  0.597 x2
C  0.318  0.538  0.233 x2
C  0.337  0.634  0.342 x2
C  0.415  0.797  0.307 x2
N  0.379  0.819  0.550 x2
N  0.439  0.887  0.407 x2
Cl  0.025  0.988  0.267 x2
Cl  0.150  0.294  0.937 x2
Cl  0.338  0.854  0.909 x2



Record 3
The following is a GGA-PBE calculation of a geometry-optimized TlCuNiGe structure, from the Open Quantum Materials Database.

## Properties
total magnetization: 0.03 μB/cell
raw total energy: -3.608 eV per atom

Cell: 6.470 6.470 6.470 Å, 90.00 90.00 90.00°
Space group F-43m (No. 216)
Symmetry-distinct sites (fractional):
Tl  0.000  0.000  0.000 x4
Cu  0.000  0.000  0.500 x4
Ni  0.250  0.250  0.750 x4
Ge  0.250  0.250  0.250 x4



Record 4
The following is a GGA-PBE calculation of a geometry-optimized Na3Ga4Ni4 structure, from the Open Quantum Materials Database.

## Properties
total magnetization: 0.00 μB/cell
raw total energy: -3.683 eV per atom

Cell: 7.334 7.334 7.334 Å, 90.00 90.00 90.00°
Space group I-43m (No. 217)
Symmetry-distinct sites (fractional):
Na  0.000  0.000  0.500 x6
Ga  0.196  0.196  0.804 x8
Ni  0.121  0.121  0.121 x8



Record 5
The following is a GGA-PBE calculation of a geometry-optimized HoNi2Ge structure, from the Open Quantum Materials Database.

## Properties
total magnetization: 0.00 μB/cell
raw total energy: -5.623 eV per atom

Cell: 4.840 4.124 6.594 Å, 90.00 103.04 90.00°
Space group P2_1/m (No. 11)
Symmetry-distinct sites (fractional):
Ho  0.189  0.250  0.228 x2
Ni  0.206  0.750  0.519 x2
Ni  0.366  0.750  0.943 x2
Ge  0.316  0.250  0.719 x2



Record 6
The following is a GGA-PBE calculation of a geometry-optimized BaSb12Os4 structure, from the Open Quantum Materials Database.

## Properties
total magnetization: 0.01 μB/cell
raw total energy: -5.836 eV per atom

Cell: 9.448 9.448 9.448 Å, 90.00 90.00 90.00°
Space group Im-3 (No. 204)
Symmetry-distinct sites (fractional):
Ba  0.000  0.000  0.000 x2
Sb  0.000  0.159  0.343 x24
Os  0.250  0.250  0.250 x8



Record 7
The following is a GGA-PBE calculation of a geometry-optimized Pr3Tm3Te2Os structure, from the Open Quantum Materials Database.

## Properties
total magnetization: 0.01 μB/cell
raw total energy: -5.592 eV per atom

Cell: 8.5422 8.5422 4.0000 Å, 90.00 90.00 120.00°
Space group P-62m (No. 189)
Symmetry-distinct sites (fractional):
Pr  0.0000  0.2478  0.0000 x3
Tm  0.0000  0.6064  0.5000 x3
Te  0.3333  0.6667  0.0000 x2
Os  0.0000  0.0000  0.5000 x1



Record 8
The following is a GGA-PBE calculation of a geometry-optimized ZrHgB structure, from the Open Quantum Materials Database.

## Properties
total magnetization: 0.03 μB/cell
raw total energy: -5.006 eV per atom

Cell: 5.892 5.892 5.892 Å, 90.00 90.00 90.00°
Space group F-43m (No. 216)
Symmetry-distinct sites (fractional):
Zr  0.000  0.000  0.000 x4
Hg  0.000  0.000  0.500 x4
B  0.250  0.250  0.750 x4



Record 9
The following is a GGA-PBE calculation of a geometry-optimized ScBeNiB structure, from the Open Quantum Materials Database.

## Properties
total magnetization: 0.01 μB/cell
raw total energy: -5.714 eV per atom

Cell: 5.555 5.555 5.555 Å, 90.00 90.00 90.00°
Space group F-43m (No. 216)
Symmetry-distinct sites (fractional):
Sc  0.000  0.000  0.000 x4
Be  0.250  0.250  0.250 x4
Ni  0.000  0.000  0.500 x4
B  0.250  0.250  0.750 x4



Record 10
The following is a GGA-PBE calculation of a geometry-optimized PrErNi2Pb structure, from the Open Quantum Materials Database.

## Properties
total magnetization: 0.01 μB/cell
raw total energy: -5.306 eV per atom

Cell: 3.729 4.021 14.542 Å, 90.00 90.00 90.00°
Space group Amm2 (No. 38)
Symmetry-distinct sites (fractional):
Pr  0.000  0.000  0.000 x2
Er  0.000  0.000  0.278 x2
Ni  0.500  0.000  0.430 x2
Ni  0.500  0.000  0.835 x2
Pb  0.500  0.000  0.643 x2



> Look up the total magnetization of the seventh one.

0.01 μB/cell